No. 1
Below is a relaxed LiLa8Co2 crystal, with properties calculated at the PBE level.

It has space group Cm (No. 8), with a = 8.428 Å, b = 14.105 Å, c = 5.886 Å, α = 90.00°, β = 102.49° and γ = 90.00°. The inequivalent atoms are Li at (0.000, 0.000, 0.000), La at (0.093, 0.500, 0.793), La at (0.217, 0.131, 0.561), La at (0.282, 0.369, 0.440), La at (0.406, 0.000, 0.208), La at (0.499, 0.249, 0.000) and Co at (0.499, 0.215, 0.500).

The energy relative to the elements is 0.012 eV per atom. The value obtained for the calculated volume is 683.2 Å³/cell. For the size of the total moment, the calculation gives 0.000 μB/f.u. As for the electronic total energy: -5.04 eV per atom.

=====

No. 2
Below is a relaxed LiLaLuCo crystal, with properties calculated at the PBE level.

It has space group F-43m (No. 216), with a = 6.986 Å, b = 6.986 Å, c = 6.986 Å, α = 90.00°, β = 90.00° and γ = 90.00°. The inequivalent atoms are Li at (0.000, 0.000, 0.000), La at (0.250, 0.250, 0.250), Lu at (0.250, 0.250, 0.750) and Co at (0.000, 0.000, 0.500).

The energy relative to the elements is -0.026 eV per atom. The value obtained for the calculated volume is 341.0 Å³/cell. For the size of the total moment, the calculation gives 0.001 μB/f.u. As for the electronic total energy: -4.64 eV per atom.

=====

No. 3
Below is a relaxed LiLa2MgCo crystal, with properties calculated at the PBE level.

It has space group P4/mmm (No. 123), with a = 5.257 Å, b = 5.257 Å, c = 5.173 Å, α = 90.00°, β = 90.00° and γ = 90.00°. The inequivalent atoms are Li at (0.000, 0.000, 0.000), La at (0.000, 0.500, 0.500), Mg at (0.500, 0.500, 0.000) and Co at (0.500, 0.500, 0.500).

The energy relative to the elements is -0.060 eV per atom. The value obtained for the calculated volume is 143.0 Å³/cell. The energy relative to the lowest polymorph listed for this composition comes out at 0.000 eV/atom. For the size of the total moment, the calculation gives 0.000 μB/f.u. As for the electronic total energy: -4.15 eV per atom.

=====

No. 4
Below is a relaxed LiLa2MgCo crystal, with properties calculated at the PBE level.

It has space group P4/mmm (No. 123), with a = 5.189 Å, b = 5.189 Å, c = 5.175 Å, α = 90.00°, β = 90.00° and γ = 90.00°. The inequivalent atoms are Li at (0.000, 0.000, 0.000), La at (0.000, 0.500, 0.500), Mg at (0.500, 0.500, 0.000) and Co at (0.000, 0.000, 0.500).

The energy relative to the elements is 0.007 eV per atom. The value obtained for the calculated volume is 139.3 Å³/cell. The energy relative to the lowest polymorph listed for this composition comes out at 0.067 eV/atom. For the size of the total moment, the calculation gives 0.000 μB/f.u. As for the electronic total energy: -4.09 eV per atom.

=====

Number 2 is which compound?
LiLaLuCo